Record 1
PBE-GGA UMn5Si3, optimized geometry; space-group type = No. 63; energy relative to the elements, uncorrected = -0.252 eV/atom
1.0
-2.349 1.605 2.668
4.394 -3.236 2.965
6.383 8.906 0.260
U Mn Si
2 10 6
Cartesian
2.636 1.440 1.454
5.792 5.836 4.438
4.674 8.046 2.123
3.192 4.453 0.130
7.334 7.557 1.909
0.000 0.000 0.000
4.729 3.923 1.803
3.755 -0.770 3.769
1.095 -0.280 3.984
5.024 1.001 3.821
3.405 6.275 2.072
3.699 3.353 4.090
8.468 6.465 3.564
2.347 4.140 2.425
-0.039 0.811 2.328
5.648 6.029 1.344
2.780 1.247 4.548
6.082 3.136 3.467

---

Record 2
PBE-GGA UMnSi, optimized geometry; space-group type = No. 187; energy relative to the elements, uncorrected = -0.254 eV/atom
1.0
-1.141 1.007 2.812
-2.763 -3.185 0.020
3.812 -0.506 1.728
U Mn Si
1 1 1
Cartesian
-1.331 -1.620 2.464
1.431 -1.231 1.627
-0.190 0.168 0.468

---

Record 3
PBE-GGA UMn3Si3, optimized geometry; space-group type = No. 223; energy relative to the elements, uncorrected = 0.435 eV/atom
1.0
6.296 0.000 0.000
0.000 6.296 0.000
0.000 0.000 6.296
Si Mn U
6 6 2
Cartesian
0.000 3.148 4.722
3.148 1.574 0.000
0.000 3.148 1.574
3.148 4.722 0.000
1.574 0.000 3.148
4.722 0.000 3.148
0.000 1.574 3.148
1.574 3.148 0.000
0.000 4.722 3.148
3.148 0.000 1.574
4.722 3.148 0.000
3.148 0.000 4.722
0.000 0.000 0.000
3.148 3.148 3.148

---

Record 4
PBE-GGA UMn10Si2, optimized geometry; space-group type = No. 63; energy relative to the elements, uncorrected = -0.180 eV/atom
1.0
6.332 0.067 0.000
-0.871 6.272 0.000
0.000 0.000 7.938
Mn Si U
20 4 2
Cartesian
3.513 2.496 7.368
0.314 5.251 4.759
0.493 2.329 1.985
4.232 4.912 3.969
5.147 1.088 0.789
5.147 1.088 3.180
1.229 1.427 3.969
1.948 3.844 3.399
2.839 1.608 1.985
0.314 5.251 7.149
3.231 5.507 1.985
3.513 2.496 4.540
2.622 4.731 5.954
2.230 0.832 5.954
1.948 3.844 0.571
4.232 4.912 0.000
1.229 1.427 0.000
1.170 3.046 5.954
4.967 4.011 5.954
4.290 3.293 1.985
-0.436 3.136 0.000
3.166 0.034 0.000
3.166 0.034 3.969
-0.436 3.136 3.969
0.056 5.473 1.985
5.405 0.866 5.954

---

Record 5
PBE-GGA U2Mn3Si2, optimized geometry; space-group type = No. 2; energy relative to the elements, uncorrected = -0.250 eV/atom
1.0
-3.714 0.403 -1.647
-1.432 -3.491 2.160
-2.978 3.279 4.721
Mn U Si
3 2 2
Cartesian
-2.872 0.141 2.382
0.000 0.000 0.000
-5.252 0.050 2.851
-3.348 -2.390 2.893
-4.777 2.581 2.341
-3.761 0.914 4.655
-4.363 -0.723 0.579

---

Record 6
PBE-GGA U2Mn3Si, optimized geometry; space-group type = No. 194; energy relative to the elements, uncorrected = -0.260 eV/atom
1.0
-0.625 0.597 -4.984
-0.085 -4.635 2.022
-7.785 0.600 1.048
Si U Mn
2 4 6
Cartesian
-3.892 0.300 0.524
0.000 0.000 0.000
-4.798 -2.542 0.297
-1.086 -1.098 -2.562
-3.696 -0.897 -2.211
-7.408 -2.341 0.649
-2.081 -1.326 0.102
-6.371 0.157 -3.006
-6.413 -2.112 -2.016
-2.429 -3.303 -1.348
-6.066 -0.135 -0.566
-2.123 -3.595 1.092